# CsFeOs2O8 (PBE+U, optimized geometry)
# Crystal system: trigonal
# E_tot, eV/atom: -6.80
data_CsFeOs2O8
_symmetry_space_group_name_H-M 'R 3 2'
_symmetry_Int_Tables_number 155
_symmetry_space_group_name_Hall 'R 3 2"'
_cell_length_a 5.7960
_cell_length_b 5.7960
_cell_length_c 26.5984
_cell_angle_alpha 90.00
_cell_angle_beta 90.00
_cell_angle_gamma 120.00
loop_
_atom_site_label
_atom_site_type_symbol
_atom_site_fract_x
_atom_site_fract_y
_atom_site_fract_z
_atom_site_occupancy
Cs1 Cs 0.0000 0.0000 0.0000 1
Fe1 Fe 0.0000 0.0000 0.5000 1
Os1 Os 0.0000 0.0000 0.2356 1
O1 O 0.0000 0.0000 0.3026 1
O2 O 0.0019 0.4609 0.1187 1